A relaxed Hf3ZnCo8 crystal, computed with PBE-GGA.

a = 8.3048 Å, b = 8.3048 Å, c = 8.3048 Å
α = 33.51°, β = 33.51°, γ = 33.51°
Element x y z (fractional)
Hf: 0.0000 0.0000 0.0000
Hf: 0.1284 0.1284 0.1284
Hf: 0.6167 0.6167 0.6167
Zn: 0.4955 0.4955 0.4955
Co: 0.0592 0.0592 0.5641
Co: 0.0592 0.5641 0.0592
Co: 0.0627 0.5603 0.5603
Co: 0.3112 0.3112 0.3112
Co: 0.5603 0.0627 0.5603
Co: 0.5603 0.5603 0.0627
Co: 0.5641 0.0592 0.0592
Co: 0.8115 0.8115 0.8115

Results
- Energy of formation from the pure elements: -0.304 eV per atom
- Mass density: 11.5 g cm⁻³
- Total moment: 1.66 μB/cell